Entry 1:
PBE-GGA NaTl3Au, optimized geometry; E above lowest polymorph = 197 meV/atom; SG = Pm-3m (221); formation energy from the elements = 0.097 eV per atom
1.0
-2.241 2.825 -4.292
1.812 -3.947 -3.545
-4.809 -2.804 0.665
Na Tl Au
1 3 1
Direct
0.500 0.500 0.500
0.000 0.500 0.000
0.000 0.000 0.500
0.500 0.000 0.000
0.000 0.000 0.000

***

Entry 2:
PBE-GGA Rb2AcGeSe4, optimized geometry; SG = Imma (74); formation energy without anion corrections = -1.0579 eV/atom
1.0
-1.619 8.904 0.486
-8.559 -1.433 -2.613
3.593 -4.580 7.230
Rb Ac Ge Se
4 2 2 8
Direct
0.500 0.000 0.000
0.500 0.000 0.500
0.000 0.000 0.500
0.500 0.500 0.000
0.000 0.500 0.000
0.000 0.500 0.500
0.500 0.500 0.500
0.000 0.000 0.000
0.206 0.755 0.981
0.745 0.294 0.519
0.255 0.706 0.481
0.794 0.245 0.019
0.758 0.743 0.945
0.757 0.742 0.555
0.243 0.258 0.445
0.242 0.257 0.055

***

The records above give, respectively, total magnetization values of 0.00 0.00 μB/f.u..
The records above give, respectively, density values of 7.9 5.0 g/cm3.